## KCuSe3 (GGA-PBE)

Data for a relaxed structure of KCuSe3.

CIF file:
```
data_KCuSe3
_chemical_formula_sum 'K1 Cu1 Se3'
_cell_length_a 4.958
_cell_length_b 4.958
_cell_length_c 4.958
_cell_angle_alpha 90.00
_cell_angle_beta 90.00
_cell_angle_gamma 90.00
_symmetry_space_group_name_H-M 'P m -3 m'
_symmetry_Int_Tables_number 221
_symmetry_space_group_name_Hall '-P 4 2 3'
loop_
_atom_site_label
_atom_site_fract_x
_atom_site_fract_y
_atom_site_fract_z
K1 0.000 0.000 0.000
Cu1 0.500 0.500 0.500
Se1 0.000 0.500 0.500
```

## KCu2Se2 (GGA-PBE)

Data for a relaxed structure of KCu2Se2.

CIF file:
```
data_KCu2Se2
_chemical_formula_sum 'K8 Cu16 Se16'
_cell_length_a 7.581
_cell_length_b 11.001
_cell_length_c 11.071
_cell_angle_alpha 90.00
_cell_angle_beta 90.00
_cell_angle_gamma 90.00
_symmetry_space_group_name_H-M 'F d d d'
_symmetry_Int_Tables_number 70
loop_
_symmetry_equiv_pos_as_xyz
'x,y,z'
'-x,-y,-z'
'-x+1/4,-y+1/4,z'
'x+1/4,y+1/4,-z'
'x,-y+1/4,-z+1/4'
'-x,y+1/4,z+1/4'
'-x+1/4,y,-z+1/4'
'x+1/4,-y,z+1/4'
'x,y+1/2,z+1/2'
'-x,-y+1/2,-z+1/2'
'-x+1/4,-y+3/4,z+1/2'
'x+1/4,y+3/4,-z+1/2'
'x,-y+3/4,-z+3/4'
'-x,y+3/4,z+3/4'
'-x+1/4,y+1/2,-z+3/4'
'x+1/4,-y+1/2,z+3/4'
'x+1/2,y,z+1/2'
'-x+1/2,-y,-z+1/2'
'-x+3/4,-y+1/4,z+1/2'
'x+3/4,y+1/4,-z+1/2'
'x+1/2,-y+1/4,-z+3/4'
'-x+1/2,y+1/4,z+3/4'
'-x+3/4,y,-z+3/4'
'x+3/4,-y,z+3/4'
'x+1/2,y+1/2,z'
'-x+1/2,-y+1/2,-z'
'-x+3/4,-y+3/4,z'
'x+3/4,y+3/4,-z'
'x+1/2,-y+3/4,-z+1/4'
'-x+1/2,y+3/4,z+1/4'
'-x+3/4,y+1/2,-z+1/4'
'x+3/4,-y+1/2,z+1/4'
loop_
_atom_site_label
_atom_site_fract_x
_atom_site_fract_y
_atom_site_fract_z
K1 0.125 0.125 0.125
Cu1 0.125 0.003 0.625
Se1 0.125 0.125 0.439
```

## KCu2Se (GGA-PBE)

Data for a relaxed structure of KCu2Se.

CIF file:
```
data_KCu2Se
_chemical_formula_sum 'K1 Cu2 Se1'
_cell_length_a 2.899
_cell_length_b 3.900
_cell_length_c 7.271
_cell_angle_alpha 90.00
_cell_angle_beta 90.00
_cell_angle_gamma 90.00
_symmetry_space_group_name_H-M 'P m m 2'
_symmetry_Int_Tables_number 25
loop_
_symmetry_equiv_pos_as_xyz
'x,y,z'
'-x,-y,z'
'-x,y,z'
'x,-y,z'
loop_
_atom_site_label
_atom_site_fract_x
_atom_site_fract_y
_atom_site_fract_z
K1 0.000 0.000 0.000
Cu1 0.000 0.000 0.534
Cu2 0.500 0.500 0.646
Se1 0.500 0.500 0.306
```

## K2CuSe (GGA-PBE)

Data for a relaxed structure of K2CuSe.

CIF file:
```
data_K2CuSe
_chemical_formula_sum 'K4 Cu2 Se2'
_cell_length_a 4.274
_cell_length_b 4.660
_cell_length_c 16.481
_cell_angle_alpha 90.00
_cell_angle_beta 90.00
_cell_angle_gamma 90.00
_symmetry_space_group_name_H-M 'I m m 2'
_symmetry_Int_Tables_number 44
loop_
_symmetry_equiv_pos_as_xyz
'x,y,z'
'-x,-y,z'
'-x,y,z'
'x,-y,z'
'x+1/2,y+1/2,z+1/2'
'-x+1/2,-y+1/2,z+1/2'
'-x+1/2,y+1/2,z+1/2'
'x+1/2,-y+1/2,z+1/2'
loop_
_atom_site_label
_atom_site_fract_x
_atom_site_fract_y
_atom_site_fract_z
K1 0.000 0.000 0.000
K2 0.000 0.500 0.254
Cu1 0.000 0.500 0.853
Se1 0.000 0.000 0.407
```

## K2CuSe (GGA-PBE)

Data for a relaxed structure of K2CuSe.

CIF file:
```
data_K2CuSe
_chemical_formula_sum 'K2 Cu1 Se1'
_cell_length_a 3.199
_cell_length_b 5.868
_cell_length_c 6.524
_cell_angle_alpha 90.00
_cell_angle_beta 90.00
_cell_angle_gamma 90.00
_symmetry_space_group_name_H-M 'P m m m'
_symmetry_Int_Tables_number 47
loop_
_symmetry_equiv_pos_as_xyz
'x,y,z'
'-x,-y,-z'
'-x,-y,z'
'x,y,-z'
'x,-y,-z'
'-x,y,z'
'-x,y,-z'
'x,-y,z'
loop_
_atom_site_label
_atom_site_fract_x
_atom_site_fract_y
_atom_site_fract_z
K1 0.000 0.000 0.000
K2 0.500 0.500 0.500
Cu1 0.000 0.000 0.500
Se1 0.500 0.500 0.000
```

## K2CuSe (GGA-PBE)

Data for a relaxed structure of K2CuSe.

CIF file:
```
data_K2CuSe
_chemical_formula_sum 'K6 Cu3 Se3'
_cell_length_a 4.4260
_cell_length_b 4.4260
_cell_length_c 26.9497
_cell_angle_alpha 90.00
_cell_angle_beta 90.00
_cell_angle_gamma 120.00
_symmetry_space_group_name_H-M 'R -3 m'
_symmetry_Int_Tables_number 166
_symmetry_space_group_name_Hall '-R 3 2"'
loop_
_atom_site_label
_atom_site_fract_x
_atom_site_fract_y
_atom_site_fract_z
K1 0.0000 0.0000 0.2413
Cu1 0.0000 0.0000 0.0000
Se1 0.0000 0.0000 0.5000
```

## K3CuSe2 (GGA-PBE)

Data for a relaxed structure of K3CuSe2.

CIF file:
```
data_K3CuSe2
_chemical_formula_sum 'K12 Cu4 Se8'
_cell_length_a 12.432
_cell_length_b 4.411
_cell_length_c 13.395
_cell_angle_alpha 90.00
_cell_angle_beta 90.00
_cell_angle_gamma 90.00
_symmetry_space_group_name_H-M 'P n m a'
_symmetry_Int_Tables_number 62
loop_
_symmetry_equiv_pos_as_xyz
'x,y,z'
'-x,-y,-z'
'-x+1/2,-y,z+1/2'
'x+1/2,y,-z+1/2'
'x+1/2,-y+1/2,-z+1/2'
'-x+1/2,y+1/2,z+1/2'
'-x,y+1/2,-z'
'x,-y+1/2,z'
loop_
_atom_site_label
_atom_site_fract_x
_atom_site_fract_y
_atom_site_fract_z
K1 0.068 0.250 0.113
K2 0.121 0.750 0.554
K3 0.184 0.250 0.801
Cu1 0.135 0.250 0.366
Se1 0.052 0.750 0.315
Se2 0.203 0.750 0.973
```

## K3CuSe2 (GGA-PBE)

Data for a relaxed structure of K3CuSe2.

CIF file:
```
data_K3CuSe2
_chemical_formula_sum 'K12 Cu4 Se8'
_cell_length_a 7.339
_cell_length_b 13.316
_cell_length_c 8.759
_cell_angle_alpha 90.00
_cell_angle_beta 90.00
_cell_angle_gamma 90.00
_symmetry_space_group_name_H-M 'I b a m'
_symmetry_Int_Tables_number 72
_symmetry_space_group_name_Hall '-I 2 2c'
loop_
_atom_site_label
_atom_site_fract_x
_atom_site_fract_y
_atom_site_fract_z
K1 0.000 0.000 0.250
K2 0.000 0.279 0.250
Cu1 0.000 0.500 0.000
Se1 0.241 0.387 0.000
```

| no. | mass density (g/cm3) | formation energy (no corrections) (eV/f.u.) |
| --- | --- | --- |
| 1 | 4.63 | -0.75 |
| 2 | 4.66 | -2.47 |
| 3 | 4.95 | 0.18 |
| 4 | 2.23 | -1.67 |
| 5 | 2.99 | -0.48 |
| 6 | 2.40 | -0.10 |
| 7 | 3.06 | -5.15 |
| 8 | 2.63 | -5.09 |